Ac2PmNd8: optimized geometry, PBE.

## Properties
Excess energy over the best structure of this formula in the dataset   0 meV per atom
E_form   0.1549 eV/atom
Total DFT energy (no corrections)   -4.491 eV/atom

Cell: 7.497 7.497 8.985 Å, 101.06 101.06 56.65°
Fractional positions:
Ac 0.170 0.170 0.191
Ac 0.830 0.830 0.809
Pm 0.000 0.000 0.500
Nd 0.214 0.668 0.162
Nd 0.278 0.278 0.827
Nd 0.332 0.786 0.838
Nd 0.374 0.374 0.512
Nd 0.626 0.626 0.488
Nd 0.668 0.214 0.162
Nd 0.722 0.722 0.173
Nd 0.786 0.332 0.838